No. 1
Material: Y2ZrIn
Method: DFT, PBE
State: relaxed

E_tot   -6.167 eV/atom

```
4
Lattice="1.742 1.006 10.597 -1.742 1.006 10.597 0.000 -2.011 10.597" Properties=species:S:1:pos:R:3 pbc="T T T"
Y 0.000 0.000 0.000
Y 0.000 0.000 5.294
Zr 0.000 0.000 23.846
In 0.000 0.000 18.550
```



No. 2
Material: PrGa2CuPd2
Method: DFT, PBE
State: relaxed

E_tot   -4.570 eV/atom

```
6
Lattice="4.551 0.000 0.000 0.000 4.551 0.000 0.000 0.000 5.628" Properties=species:S:1:pos:R:3 pbc="T T T"
Pr 0.000 0.000 0.000
Ga 0.000 2.275 2.814
Ga 2.275 0.000 2.814
Cu 0.000 0.000 2.814
Pd 2.275 2.275 1.368
Pd 2.275 2.275 4.260
```



No. 3
Material: LiSi2Au
Method: DFT, PBE
State: relaxed

E_tot   -4.058 eV/atom

```
4
Lattice="3.842 0.000 0.000 0.000 3.842 0.000 0.000 0.000 4.078" Properties=species:S:1:pos:R:3 pbc="T T T"
Li 0.000 0.000 0.000
Si 0.000 1.921 2.039
Si 1.921 0.000 2.039
Au 1.921 1.921 0.000
```



What is the formula in the second record? PrGa2CuPd2